## SmUN2 (PBE)

Data for crystalline SmUN2 at its relaxed geometry.

Lattice parameters (Å, degrees): 3.4941 3.4941 11.5918 90.00 90.00 120.00
Space group P6_3/mmc (No. 194)
One atom of each set of equivalent atoms:
1 Sm 0.3333 0.6667 0.2500 [2 per cell]
2 U 0.0000 0.0000 0.0000 [2 per cell]
3 N 0.3333 0.6667 0.6089 [4 per cell]

***

## Sm3U5N12 (PBE)

Data for crystalline Sm3U5N12 at its relaxed geometry.

Lattice parameters (Å, degrees): 13.724 13.724 13.724 90.00 90.00 90.00
Space group Ia-3d (No. 230)
One atom of each set of equivalent atoms:
1 Sm 0.000 0.250 0.125 [24 per cell]
2 U 0.000 0.000 0.000 [16 per cell]
3 U 0.000 0.250 0.375 [24 per cell]
4 N 0.021 0.048 0.651 [96 per cell]

***

## SmUN2 (PBE)

Data for crystalline SmUN2 at its relaxed geometry.

Lattice parameters (Å, degrees): 3.515 3.515 4.934 90.00 90.00 90.00
Space group P4/mmm (No. 123)
One atom of each set of equivalent atoms:
1 Sm 0.000 0.000 0.000 [1 per cell]
2 U 0.500 0.500 0.500 [1 per cell]
3 N 0.000 0.000 0.500 [1 per cell]
4 N 0.500 0.500 0.000 [1 per cell]

***

## SmU2N3 (PBE)

Data for crystalline SmU2N3 at its relaxed geometry.

Lattice parameters (Å, degrees): 9.821 8.628 5.406 90.00 90.00 90.00
Space group Cmcm (No. 63)
One atom of each set of equivalent atoms:
1 Sm 0.000 0.128 0.250 [4 per cell]
2 U 0.177 0.500 0.000 [8 per cell]
3 N 0.000 0.421 0.750 [4 per cell]
4 N 0.159 0.069 0.750 [8 per cell]

***

| no. | size of the total moment (μB per cell) | VASP energy (eV/cell) |
| --- | --- | --- |
| 1 | 2.60 | -76.525 |
| 2 | 0.00 | -1559.508 |
| 3 | 1.93 | -38.105 |
| 4 | 10.32 | -220.472 |